This record from Alexandria describes an optimized crystal structure of NiRhPbF2. The functional is GGA+U.

Lattice parameters (Å, degrees): 4.0596 4.0596 5.0060 90.00 90.00 90.00
Last column: nearest neighbours and their distance in Å.
Positions (direct):
Pb 0.5000 0.5000 0.5000  4 Ni 2.87
Ni 0.0000 0.0000 0.5000  2 Rh 2.50
Rh 0.0000 0.0000 0.0000  4 F 2.03
F 0.0000 0.5000 0.0000  2 Rh 2.03
F 0.5000 0.0000 0.0000  2 Rh 2.03

Results
Total energy ... -18.8 eV per formula unit
N(E_F) ... 2.68 states/eV per cell
M_tot ... 0.0000 μB/atom